a | # ErPaIn2

A relaxed ErPaIn2 crystal (PBE-GGA, Alexandria).

Crystal system: tetragonal

abc: 4.761 4.761 4.553
angles: 90.00 90.00 90.00
Space group P4/mmm (No. 123)
One atom of each set of equivalent atoms:
Er (0.000, 0.000, 0.000) x1
Pa (0.500, 0.500, 0.000) x1
In (0.000, 0.500, 0.500) x2

***

b | # ErPaIn2

A relaxed ErPaIn2 crystal (PBE-GGA, Alexandria).

Crystal system: cubic

abc: 7.511 7.511 7.511
angles: 90.00 90.00 90.00
Space group Fm-3m (No. 225)
One atom of each set of equivalent atoms:
Er (0.000, 0.000, 0.000) x4
Pa (0.000, 0.000, 0.500) x4
In (0.250, 0.250, 0.250) x8

***

Energies, relative to the best one, in eV/atom: a 0.000; b 0.048.

***

a | # ErPaIn2

A relaxed ErPaIn2 crystal (PBE-GGA, Alexandria).

Crystal system: trigonal

abc: 3.3247 3.3247 32.5469
angles: 90.00 90.00 120.00
Space group R-3m (No. 166, hexagonal axes)
One atom of each set of equivalent atoms:
Er (0.0000, 0.0000, 0.0000) x3
Pa (0.0000, 0.0000, 0.5000) x3
In (0.0000, 0.0000, 0.2513) x6

***

b | # ErPaIn2

A relaxed ErPaIn2 crystal (PBE-GGA, Alexandria).

Crystal system: tetragonal

abc: 3.298 3.298 9.297
angles: 90.00 90.00 90.00
Space group P4/mmm (No. 123)
One atom of each set of equivalent atoms:
Er (0.000, 0.000, 0.000) x1
Pa (0.000, 0.000, 0.500) x1
In (0.500, 0.500, 0.246) x2

***

Energies, relative to the best one, in eV/atom: a 0.082; b 0.000.

***

a | # ErIn2Pb

A relaxed ErIn2Pb crystal (PBE-GGA, Alexandria).

Crystal system: cubic

abc: 7.656 7.656 7.656
angles: 90.00 90.00 90.00
Space group Fm-3m (No. 225)
One atom of each set of equivalent atoms:
Er (0.000, 0.000, 0.000) x4
In (0.250, 0.250, 0.250) x8
Pb (0.000, 0.000, 0.500) x4

***

b | # ErIn2Pb

A relaxed ErIn2Pb crystal (PBE-GGA, Alexandria).

Crystal system: tetragonal

abc: 3.917 3.917 7.093
angles: 90.00 90.00 90.00
Space group P4/mmm (No. 123)
One atom of each set of equivalent atoms:
Er (0.000, 0.000, 0.000) x1
In (0.500, 0.500, 0.253) x2
Pb (0.000, 0.000, 0.500) x1

***

c | # ErIn2Pb

A relaxed ErIn2Pb crystal (PBE-GGA, Alexandria).

Crystal system: tetragonal

abc: 4.574 4.574 5.002
angles: 90.00 90.00 90.00
Space group P4/mmm (No. 123)
One atom of each set of equivalent atoms:
Er (0.000, 0.000, 0.000) x1
In (0.000, 0.500, 0.500) x2
Pb (0.500, 0.500, 0.000) x1

***

Energies, relative to the best one, in eV/atom: a 0.197; b 0.147; c 0.000.

***

a | # ErIn2Pb

A relaxed ErIn2Pb crystal (PBE-GGA, Alexandria).

Crystal system: orthorhombic

abc: 6.442 7.888 8.382
angles: 90.00 90.00 90.00
Space group Imma (No. 74)
One atom of each set of equivalent atoms:
Er (0.000, 0.250, 0.053) x4
In (0.250, 0.052, 0.750) x8
Pb (0.000, 0.250, 0.454) x4

***

b | # ErIn2Pb

A relaxed ErIn2Pb crystal (PBE-GGA, Alexandria).

Crystal system: tetragonal

abc: 4.474 4.474 10.379
angles: 90.00 90.00 90.00
Space group I4/mmm (No. 139)
One atom of each set of equivalent atoms:
Er (0.000, 0.000, 0.000) x2
In (0.000, 0.500, 0.250) x4
Pb (0.000, 0.000, 0.500) x2

***

Energies, relative to the best one, in eV/atom: a 0.018; b 0.000.

***

a | # Er4InPb

A relaxed Er4InPb crystal (PBE-GGA, Alexandria).

Crystal system: monoclinic

abc: 10.631 3.572 10.594
angles: 90.00 116.21 90.00
Space group C2/m (No. 12)
One atom of each set of equivalent atoms:
Er (0.146, 0.000, 0.353) x4
Er (0.156, 0.500, 0.845) x4
In (0.000, 0.500, 0.500) x2
Pb (0.000, 0.000, 0.000) x2

***

b | # Er4InPb

A relaxed Er4InPb crystal (PBE-GGA, Alexandria).

Crystal system: tetragonal

abc: 7.265 7.265 14.519
angles: 90.00 90.00 90.00
Space group I4_1/amd (No. 141, origin choice 2)
One atom of each set of equivalent atoms:
Er (0.244, 0.000, 0.000) x16
In (0.000, 0.250, 0.875) x4
Pb (0.000, 0.250, 0.375) x4

***

Energies, relative to the best one, in eV/atom: a 0.062; b 0.000.

***

a | # Er6InPb

A relaxed Er6InPb crystal (PBE-GGA, Alexandria).

Crystal system: tetragonal

abc: 4.806 4.806 9.600
angles: 90.00 90.00 90.00
Space group P4/mmm (No. 123)
One atom of each set of equivalent atoms:
Er (0.000, 0.000, 0.000) x1
Er (0.000, 0.000, 0.500) x1
Er (0.000, 0.500, 0.248) x4
In (0.500, 0.500, 0.000) x1
Pb (0.500, 0.500, 0.500) x1

***

b | # Er6InPb

A relaxed Er6InPb crystal (PBE-GGA, Alexandria).

Crystal system: monoclinic

abc: 6.938 12.040 6.943
angles: 90.00 118.42 90.00
Space group C2/m (No. 12)
One atom of each set of equivalent atoms:
Er (0.249, 0.000, 0.248) x4
Er (0.250, 0.210, 0.754) x8
In (0.000, 0.500, 0.000) x2
Pb (0.000, 0.000, 0.500) x2

***

Energies, relative to the best one, in eV/atom: a 0.000; b 0.348.